A plane-wave DFT calculation with PBE was carried out for crystalline AlSbCl2 at its relaxed geometry.

The energy above the lowest structure with this stoichiometry is 0 meV/atom. The formation energy (no corrections) is -0.646 eV/atom. As for the magnetization: 0.229 μB/f.u. Its space group is Cm.

Structure (POSCAR):
```
AlSbCl2
1.0
6.471 -1.619 0.000
6.471 1.619 0.000
-3.676 0.000 6.563
Al Sb Cl
1 1 2
Direct
0.000 0.000 0.000
0.509 0.509 0.317
0.163 0.163 0.996
0.384 0.384 0.762
```

A plane-wave DFT calculation with PBE was carried out for crystalline Hf2HgF11 at its relaxed geometry.

The formation energy (no corrections) is -2.971 eV/atom. As for the magnetization: 1.182 μB/f.u. Its space group is Ibam.

Structure (POSCAR):
```
Hf2HgF11
1.0
-3.934 5.020 5.438
3.934 -5.020 5.438
3.934 5.020 -5.438
Hf Hg F
4 2 22
Direct
0.184 0.130 0.314
0.316 0.630 0.946
0.684 0.370 0.054
0.816 0.870 0.686
0.250 0.750 0.500
0.750 0.250 0.500
0.000 0.000 0.000
0.041 0.468 0.781
0.051 0.886 0.668
0.187 0.968 0.426
0.217 0.383 0.332
0.220 0.870 0.090
0.280 0.370 0.649
0.283 0.614 0.165
0.313 0.739 0.781
0.449 0.117 0.835
0.459 0.239 0.426
0.500 0.500 0.000
0.541 0.761 0.574
0.551 0.883 0.165
0.687 0.261 0.219
0.717 0.386 0.835
0.720 0.630 0.351
0.780 0.130 0.910
0.783 0.617 0.668
0.813 0.032 0.574
0.949 0.114 0.332
0.959 0.532 0.219
```

A plane-wave DFT calculation with PBE was carried out for crystalline AgBrO at its relaxed geometry.

The formation energy (no corrections) is 0.115 eV/atom. As for the magnetization: 0.000 μB/f.u. Its space group is P3_2.

Structure (POSCAR):
```
AgBrO
1.0
5.488 0.000 0.000
-2.744 4.752 0.000
0.000 0.000 9.519
Ag Br O
3 3 3
Direct
0.111 0.105 0.000
0.895 0.006 0.667
0.994 0.889 0.333
0.564 0.174 0.102
0.610 0.436 0.435
0.826 0.390 0.768
0.354 0.271 0.273
0.729 0.083 0.939
0.917 0.646 0.606
```

A plane-wave DFT calculation with PBE was carried out for crystalline AcHoZnPt at its relaxed geometry.

The energy of formation is -0.636 eV/atom. As for the magnetization: 0.000 μB/f.u. Its space group is F-43m.

Structure (POSCAR):
```
AcHoZnPt
1.0
0.000 3.688 3.688
3.688 0.000 3.688
3.688 3.688 0.000
Ac Ho Zn Pt
1 1 1 1
Direct
0.000 0.000 0.000
0.500 0.500 0.500
0.250 0.250 0.250
0.750 0.750 0.750
```

A plane-wave DFT calculation with PBE was carried out for crystalline CaSc2Ag at its relaxed geometry.

The energy above the lowest structure with this stoichiometry is 191 meV/atom. The energy of formation is 0.129 eV/atom. As for the magnetization: 0.004 μB/f.u. Its space group is C2/m.

Structure (POSCAR):
```
CaSc2Ag
1.0
3.095 -5.553 0.000
3.095 5.553 0.000
-1.430 0.000 2.913
Ca Sc Ag
1 2 1
Direct
0.000 0.000 0.000
0.000 0.500 0.500
0.500 0.000 0.500
0.500 0.500 0.000
```

A plane-wave DFT calculation with PBE was carried out for crystalline ZnPdSe2 at its relaxed geometry.

The formation energy (no corrections) is -0.314 eV/atom. As for the magnetization: 0.000 μB/f.u. Its space group is I-42d.

Structure (POSCAR):
```
ZnPdSe2
1.0
-2.869 2.869 5.712
2.869 -2.869 5.712
2.869 2.869 -5.712
Zn Pd Se
2 2 4
Direct
0.000 0.000 0.000
0.750 0.250 0.500
0.250 0.750 0.500
0.500 0.500 0.000
0.126 0.625 0.001
0.375 0.376 0.501
0.624 0.125 0.999
0.875 0.874 0.499
```

A plane-wave DFT calculation with PBE was carried out for crystalline Ba2SrRu at its relaxed geometry.

The energy above the lowest structure with this stoichiometry is 297 meV/atom. The energy of formation is 0.608 eV/atom. As for the magnetization: 0.000 μB/f.u. Its space group is P4/mmm.

Structure (POSCAR):
```
Ba2SrRu
1.0
5.229 0.000 0.000
0.000 5.229 0.000
0.000 0.000 5.166
Ba Sr Ru
2 1 1
Direct
0.000 0.500 0.000
0.500 0.000 0.000
0.000 0.000 0.500
0.500 0.500 0.500
```

A plane-wave DFT calculation with PBE was carried out for crystalline Ba2Bi2Sb2Pb5 at its relaxed geometry.

The formation energy (no corrections) is -0.084 eV/atom. As for the magnetization: 0.000 μB/f.u. Its space group is I4/mmm.

Structure (POSCAR):
```
Ba2Bi2Sb2Pb5
1.0
-2.564 2.564 18.781
2.564 -2.564 18.781
2.564 2.564 -18.781
Ba Bi Sb Pb
2 2 2 5
Direct
0.209 0.209 0.000
0.791 0.791 0.000
0.306 0.306 0.000
0.694 0.694 0.000
0.079 0.079 0.000
0.921 0.921 0.000
0.000 0.000 0.000
0.130 0.630 0.500
0.370 0.870 0.500
0.630 0.130 0.500
0.870 0.370 0.500
```